Density functional theory data (GGA+U) for a relaxed NbFe2PbO crystal.

Properties
Spin magnetization: 6.49 μB per formula unit
SG: P4/mmm (123)
Total energy: -5.63 eV per atom

Cell: 5.382 3.869 5.382 Å, 90.00 90.00 90.00°
Each line ends with the local moment (μB).
Sites, in units of the cell vectors:
Pb 0.500 0.500 0.500  -0.13
Nb 0.000 0.000 0.000  -0.50
Fe 0.000 0.000 0.500  3.53
Fe 0.500 0.000 0.000  3.67
O 0.000 0.500 0.000  0.00